(1)
{
  "formula": "Ho4Er2Tm3",
  "functional": "PBE-GGA",
  "state": "relaxed",
  "spacegroup": "C2/c (15)",
  "e_form_mev_per_atom": 102,
  "vol_a3_per_atom": 30.43,
  "n_ef_per_ev_atom": 1.4461,
  "lattice_angstrom": [[-2.415, -4.318, 3.517], [-4.793, -8.717, -4.883], [5.167, -9.782, 0.649]],
  "species": ["Ho", "Ho", "Er", "Ho", "Ho", "Tm", "Er", "Ho", "Ho", "Tm", "Tm", "Er", "Er", "Tm", "Ho", "Ho", "Tm", "Tm"],
  "fractional_positions": [[0.420, 0.904, 0.190], [0.920, 0.190, 0.904], [0.080, 0.477, 0.762], [0.420, 0.570, 0.856], [0.080, 0.810, 0.096], [0.749, 0.070, 0.264], [0.920, 0.523, 0.238], [0.580, 0.096, 0.810], [0.580, 0.430, 0.144], [0.249, 0.264, 0.070], [0.751, 0.736, 0.930], [0.420, 0.238, 0.523], [0.580, 0.762, 0.477], [0.750, 0.403, 0.597], [0.080, 0.144, 0.430], [0.920, 0.856, 0.570], [0.250, 0.597, 0.403], [0.251, 0.930, 0.736]]
}



(2)
{
  "formula": "Ho2ErTm4",
  "functional": "PBE-GGA",
  "state": "relaxed",
  "spacegroup": "P1 (1)",
  "e_form_mev_per_atom": 81,
  "vol_a3_per_atom": 30.48,
  "n_ef_per_ev_atom": 1.6101,
  "e_above_lowest_polymorph_mev_per_atom": 81.0,
  "lattice_angstrom": [[-4.238, -7.479, 4.563], [7.763, -2.452, 1.612], [-5.240, 5.922, 2.512]],
  "species": ["Tm", "Tm", "Tm", "Er", "Tm", "Tm", "Ho", "Tm", "Tm", "Ho", "Ho", "Er", "Tm", "Ho"],
  "fractional_positions": [[0.846, 0.502, 0.732], [0.405, 0.643, 0.163], [0.049, 0.533, 0.122], [0.983, 0.859, 0.664], [0.701, 0.142, 0.804], [0.201, 0.825, 0.987], [0.625, 0.489, 0.364], [0.345, 0.042, 0.772], [0.905, 0.172, 0.192], [0.125, 0.190, 0.565], [0.483, 0.248, 0.552], [0.267, 0.436, 0.381], [0.549, 0.856, 0.944], [0.768, 0.814, 0.259]]
}



(3)
{
  "formula": "Ho4Er6Tm19",
  "functional": "PBE-GGA",
  "state": "relaxed",
  "spacegroup": "I23 (197)",
  "e_form_mev_per_atom": 398,
  "vol_a3_per_atom": 31.90,
  "n_ef_per_ev_atom": 1.5391,
  "lattice_angstrom": [[10.023, 0.000, -3.544], [-5.012, 8.680, -3.544], [0.000, 0.000, 10.632]],
  "species": ["Tm", "Er", "Ho", "Tm", "Ho", "Tm", "Tm", "Tm", "Tm", "Tm", "Tm", "Tm", "Er", "Er", "Tm", "Tm", "Tm", "Tm", "Tm", "Ho", "Ho", "Tm", "Tm", "Tm", "Er", "Er", "Tm", "Er", "Tm"],
  "fractional_positions": [[0.000, 0.263, 0.263], [0.871, 0.371, 0.500], [0.000, 0.000, 0.644], [0.789, 0.986, 0.326], [0.000, 0.644, 0.000], [0.339, 0.014, 0.802], [0.000, 0.737, 0.737], [0.674, 0.661, 0.463], [0.986, 0.326, 0.789], [0.802, 0.339, 0.014], [0.737, 0.000, 0.737], [0.263, 0.000, 0.263], [0.500, 0.871, 0.371], [0.129, 0.629, 0.500], [0.537, 0.198, 0.211], [0.326, 0.789, 0.986], [0.463, 0.674, 0.661], [0.737, 0.737, 0.000], [0.661, 0.463, 0.674], [0.644, 0.000, 0.000], [0.356, 0.356, 0.356], [0.198, 0.211, 0.537], [0.014, 0.802, 0.339], [0.263, 0.263, 0.000], [0.500, 0.129, 0.629], [0.371, 0.500, 0.871], [0.000, 0.000, 0.000], [0.629, 0.500, 0.129], [0.211, 0.537, 0.198]]
}



(4)
{
  "formula": "HoEr5Tm2",
  "functional": "PBE-GGA",
  "state": "relaxed",
  "spacegroup": "Pbam (55)",
  "e_form_mev_per_atom": 21,
  "vol_a3_per_atom": 30.14,
  "n_ef_per_ev_atom": 1.1470,
  "e_above_lowest_polymorph_mev_per_atom": 0.0,
  "lattice_angstrom": [[-1.356, -2.992, -3.687], [6.559, -0.001, -2.412], [2.921, -11.119, 7.949]],
  "species": ["Tm", "Tm", "Er", "Tm", "Er", "Er", "Er", "Er", "Tm", "Er", "Ho", "Er", "Er", "Er", "Er", "Ho"],
  "fractional_positions": [[0.500, 0.250, 0.125], [0.500, 0.750, 0.875], [0.500, 0.250, 0.375], [0.500, 0.250, 0.625], [0.500, 0.750, 0.625], [0.000, 0.500, 0.500], [0.000, 0.000, 0.250], [0.000, 0.000, 0.750], [0.500, 0.750, 0.375], [0.500, 0.750, 0.125], [0.000, 0.000, 0.500], [0.500, 0.250, 0.875], [0.000, 0.500, 0.250], [0.000, 0.500, 0.750], [0.000, 0.000, 0.000], [0.000, 0.500, 0.000]]
}